# 1
# TiRuN | Alexandria via LeMat-Bulk | GGA-PBE | optimized geometry
# D(E_F)	1.04	states/eV per atom
# excess energy over the best structure of this formula in the dataset	324	meV/atom
# electronic total energy	-9.01	eV per atom
# ΔE_f (raw)	-0.509	eV per atom
data_TiRuN
_chemical_formula_sum 'Ti1 Ru1 N1'
_space_group_name_H-M_alt 'P 3 m 1'
_space_group_IT_number 156
_cell_length_a 3.0824
_cell_length_b 3.0824
_cell_length_c 4.3845
_cell_angle_alpha 90.00
_cell_angle_beta 90.00
_cell_angle_gamma 120.00
loop_
_space_group_symop_operation_xyz
'x,y,z'
'-y,x-y,z'
'-x+y,-x,z'
'-y,-x,z'
'-x+y,y,z'
'x,x-y,z'
loop_
_atom_site_label
_atom_site_type_symbol
_atom_site_fract_x
_atom_site_fract_y
_atom_site_fract_z
Ti1 Ti 0.0000 0.0000 0.0000
Ru1 Ru 0.3333 0.6667 0.5080
N1 N 0.6667 0.3333 0.7783

# 2
# Nb2Pb5O12 | Alexandria via LeMat-Bulk | GGA-PBE | optimized geometry
# electronic total energy	-6.72	eV per atom
# ΔE_f (raw)	-1.557	eV per atom
data_Nb2Pb5O12
_chemical_formula_sum 'Nb4 Pb10 O24'
_space_group_name_H-M_alt 'C 1 2/m 1'
_space_group_IT_number 12
_cell_length_a 13.700
_cell_length_b 6.046
_cell_length_c 7.704
_cell_angle_alpha 90.00
_cell_angle_beta 109.19
_cell_angle_gamma 90.00
loop_
_space_group_symop_operation_xyz
'x,y,z'
'-x,-y,-z'
'-x,y,-z'
'x,-y,z'
'x+1/2,y+1/2,z'
'-x+1/2,-y+1/2,-z'
'-x+1/2,y+1/2,-z'
'x+1/2,-y+1/2,z'
loop_
_atom_site_label
_atom_site_type_symbol
_atom_site_fract_x
_atom_site_fract_y
_atom_site_fract_z
Nb1 Nb 0.000 0.250 0.000
Pb1 Pb 0.000 0.000 0.500
Pb2 Pb 0.206 0.500 0.826
Pb3 Pb 0.207 0.500 0.374
O1 O 0.010 0.500 0.832
O2 O 0.031 0.000 0.851
O3 O 0.153 0.264 0.139
O4 O 0.161 0.254 0.558

# 3
# MgAs2Pb2O6 | Alexandria via LeMat-Bulk | GGA-PBE | optimized geometry
# D(E_F)	0.29	states/eV per atom
# electronic total energy	-5.57	eV per atom
# ΔE_f (raw)	-1.199	eV per atom
data_MgAs2Pb2O6
_chemical_formula_sum 'Mg2 As4 Pb4 O12'
_space_group_name_H-M_alt 'C 1 2/m 1'
_space_group_IT_number 12
_cell_length_a 10.622
_cell_length_b 5.860
_cell_length_c 6.502
_cell_angle_alpha 90.00
_cell_angle_beta 124.91
_cell_angle_gamma 90.00
loop_
_space_group_symop_operation_xyz
'x,y,z'
'-x,-y,-z'
'-x,y,-z'
'x,-y,z'
'x+1/2,y+1/2,z'
'-x+1/2,-y+1/2,-z'
'-x+1/2,y+1/2,-z'
'x+1/2,-y+1/2,z'
loop_
_atom_site_label
_atom_site_type_symbol
_atom_site_fract_x
_atom_site_fract_y
_atom_site_fract_z
Mg1 Mg 0.000 0.000 0.000
As1 As 0.075 0.500 0.730
Pb1 Pb 0.231 0.000 0.630
O1 O 0.026 0.250 0.258
O2 O 0.240 0.000 0.251

# 4
# Pr3Rh2Pb4 | Alexandria via LeMat-Bulk | GGA-PBE | optimized geometry
# D(E_F)	0.41	states/eV per atom
# electronic total energy	-5.33	eV per atom
# DFT formation energy	-4.13	eV per formula unit
data_Pr3Rh2Pb4
_chemical_formula_sum 'Pr6 Rh4 Pb8'
_space_group_name_H-M_alt 'C 1 2/m 1'
_space_group_IT_number 12
_cell_length_a 11.632
_cell_length_b 4.898
_cell_length_c 9.286
_cell_angle_alpha 90.00
_cell_angle_beta 113.64
_cell_angle_gamma 90.00
loop_
_space_group_symop_operation_xyz
'x,y,z'
'-x,-y,-z'
'-x,y,-z'
'x,-y,z'
'x+1/2,y+1/2,z'
'-x+1/2,-y+1/2,-z'
'-x+1/2,y+1/2,-z'
'x+1/2,-y+1/2,z'
loop_
_atom_site_label
_atom_site_type_symbol
_atom_site_fract_x
_atom_site_fract_y
_atom_site_fract_z
Pr1 Pr 0.000 0.000 0.000
Pr2 Pr 0.184 0.500 0.620
Rh1 Rh 0.094 0.500 0.284
Pb1 Pb 0.013 0.000 0.345
Pb2 Pb 0.214 0.500 0.078

# 5
# Sr2LiCdPd | Alexandria via LeMat-Bulk | GGA-PBE | optimized geometry
# D(E_F)	0.34	states/eV per atom
# excess energy over the best structure of this formula in the dataset	18	meV/atom
# electronic total energy	-2.51	eV per atom
# DFT formation energy	-1.17	eV per formula unit
data_Sr2LiCdPd
_chemical_formula_sum 'Sr2 Li1 Cd1 Pd1'
_space_group_name_H-M_alt 'P 4/m m m'
_space_group_IT_number 123
_space_group_name_Hall '-P 4 2'
_cell_length_a 5.846
_cell_length_b 5.846
_cell_length_c 5.308
_cell_angle_alpha 90.00
_cell_angle_beta 90.00
_cell_angle_gamma 90.00
loop_
_atom_site_label
_atom_site_type_symbol
_atom_site_fract_x
_atom_site_fract_y
_atom_site_fract_z
Sr1 Sr 0.000 0.500 0.000
Li1 Li 0.000 0.000 0.500
Cd1 Cd 0.500 0.500 0.500
Pd1 Pd 0.500 0.500 0.000

# 6
# CsRbLi2Zn | Alexandria via LeMat-Bulk | GGA-PBE | optimized geometry
# D(E_F)	1.29	states/eV per atom
# electronic total energy	-0.61	eV per atom
# DFT formation energy	3.86	eV per formula unit
data_CsRbLi2Zn
_chemical_formula_sum 'Cs1 Rb1 Li2 Zn1'
_space_group_name_H-M_alt 'P 4/m m m'
_space_group_IT_number 123
_space_group_name_Hall '-P 4 2'
_cell_length_a 7.222
_cell_length_b 7.222
_cell_length_c 8.530
_cell_angle_alpha 90.00
_cell_angle_beta 90.00
_cell_angle_gamma 90.00
loop_
_atom_site_label
_atom_site_type_symbol
_atom_site_fract_x
_atom_site_fract_y
_atom_site_fract_z
Cs1 Cs 0.000 0.000 0.000
Rb1 Rb 0.000 0.000 0.500
Li1 Li 0.000 0.500 0.000
Zn1 Zn 0.500 0.500 0.500

- The lowest electronic total energy belongs to which entry?
  TiRuN

- Which of these has the lowest electronic total energy?
  TiRuN

- Among the records above, which one has the lowest electronic total energy?
  TiRuN